Here is a geometry-optimized Mg4ZnRh structure from Alexandria via LeMat-Bulk. Energies are from PBEsol.

## Properties
- Fermi-level density of states (states/eV per cell) = 3.3
- magnetic moment (μB/f.u.) = 0.00
- electronic total energy (eV per atom) = -2.50
- ΔE_f (eV per atom) = 0.26

Cell lengths 5.364, 5.364, 5.364 Å; angles 60.00, 60.00, 60.00 degrees
Sites, in units of the cell vectors:
Mg 0.375 0.375 0.375
Mg 0.375 0.375 0.874
Mg 0.874 0.375 0.375
Mg 0.375 0.874 0.375
Zn 0.000 0.000 0.000
Rh 0.750 0.750 0.750